# CaHfSn2Te | the Alexandria database | PBE-GGA | relaxed
# - Calculated volume: 183.4 Å³ per cell
# - Raw formation energy: 3.7 eV/f.u.
data_CaHfSn2Te
_cell_length_a 5.783
_cell_length_b 5.483
_cell_length_c 5.783
_cell_angle_alpha 90.00
_cell_angle_beta 90.00
_cell_angle_gamma 90.00
_symmetry_space_group_name_H-M 'P 1'
_symmetry_Int_Tables_number 1
loop_
_symmetry_equiv_pos_as_xyz
'x,y,z'
loop_
_atom_site_label
_atom_site_type_symbol
_atom_site_fract_x
_atom_site_fract_y
_atom_site_fract_z
Sn1 Sn 0.000 0.000 0.500
Te1 Te 0.000 0.000 0.000
Hf1 Hf 0.500 0.500 0.500
Sn2 Sn 0.500 0.000 0.000
Ca1 Ca 0.000 0.500 0.000